Entry 1:
# PrPuMgAl, relaxed, DFT PBE-GGA
data_PrPuMgAl
_cell_length_a 7.508
_cell_length_b 7.508
_cell_length_c 7.508
_cell_angle_alpha 90.00
_cell_angle_beta 90.00
_cell_angle_gamma 90.00
_space_group_name_H-M_alt 'F -4 3 m'
_space_group_IT_number 216
_space_group_name_Hall 'F -4 2 3'
loop_
_atom_site_label
_atom_site_fract_x
_atom_site_fract_y
_atom_site_fract_z
Pr1 0.000 0.000 0.000
Pu1 0.000 0.000 0.500
Mg1 0.250 0.250 0.750
Al1 0.250 0.250 0.250
# - calculated formation energy (eV per formula unit) = -0.19
# - total DFT energy (no corrections) (eV per formula unit) = -24.64

---

Entry 2:
# Ba2SnSbCl, relaxed, DFT PBE-GGA
data_Ba2SnSbCl
_cell_length_a 6.750
_cell_length_b 6.750
_cell_length_c 5.303
_cell_angle_alpha 90.00
_cell_angle_beta 90.00
_cell_angle_gamma 90.00
_space_group_name_H-M_alt 'P 4/m m m'
_space_group_IT_number 123
_space_group_name_Hall '-P 4 2'
loop_
_atom_site_label
_atom_site_fract_x
_atom_site_fract_y
_atom_site_fract_z
Ba1 0.000 0.500 0.000
Sn1 0.000 0.000 0.500
Sb1 0.500 0.500 0.000
Cl1 0.500 0.500 0.500
# - total DFT energy (no corrections) (eV per formula unit) = -15.88

---

Entry 3:
# In2N2O, relaxed, DFT PBE-GGA
data_In2N2O
_cell_length_a 3.351
_cell_length_b 3.351
_cell_length_c 11.739
_cell_angle_alpha 90.00
_cell_angle_beta 90.00
_cell_angle_gamma 90.00
_space_group_name_H-M_alt 'I 4/m m m'
_space_group_IT_number 139
_space_group_name_Hall '-I 4 2'
loop_
_atom_site_label
_atom_site_fract_x
_atom_site_fract_y
_atom_site_fract_z
In1 0.000 0.000 0.120
N1 0.000 0.500 0.250
O1 0.000 0.000 0.500
# - total DFT energy (no corrections) (eV per formula unit) = -23.33

---

Entry 4:
# NdTh2NbN4, relaxed, DFT PBE-GGA
data_NdTh2NbN4
_cell_length_a 3.564
_cell_length_b 12.286
_cell_length_c 12.183
_cell_angle_alpha 90.00
_cell_angle_beta 90.00
_cell_angle_gamma 90.00
_space_group_name_H-M_alt 'C m c m'
_space_group_IT_number 63
_space_group_name_Hall '-C 2c 2'
loop_
_atom_site_label
_atom_site_fract_x
_atom_site_fract_y
_atom_site_fract_z
Nd1 0.000 0.123 0.250
Th1 0.000 0.368 0.042
Nb1 0.000 0.144 0.750
N1 0.000 0.000 0.000
N2 0.000 0.268 0.630
N3 0.000 0.450 0.250
# - total DFT energy (no corrections) (eV per formula unit) = -72.02

---

Entry 5:
# Ga3NiPt, relaxed, DFT PBE-GGA
data_Ga3NiPt
_cell_length_a 12.554
_cell_length_b 12.678
_cell_length_c 4.197
_cell_angle_alpha 90.00
_cell_angle_beta 109.45
_cell_angle_gamma 90.00
_space_group_name_H-M_alt 'C 1 2/c 1'
_space_group_IT_number 15
loop_
_space_group_symop_operation_xyz
'x,y,z'
'-x,-y,-z'
'-x,y,-z+1/2'
'x,-y,z+1/2'
'x+1/2,y+1/2,z'
'-x+1/2,-y+1/2,-z'
'-x+1/2,y+1/2,-z+1/2'
'x+1/2,-y+1/2,z+1/2'
loop_
_atom_site_label
_atom_site_fract_x
_atom_site_fract_y
_atom_site_fract_z
Ga1 0.115 0.098 0.364
Ga2 0.121 0.413 0.371
Ga3 0.126 0.251 0.875
Ni1 0.000 0.256 0.250
Ni2 0.000 0.408 0.750
Pt1 0.241 0.081 0.990
# - calculated formation energy (eV per formula unit) = -2.21
# - total DFT energy (no corrections) (eV per formula unit) = -23.12
# - energy relative to the lowest polymorph listed for this composition (eV per atom) = 0.000

---

Entry 6:
# DyHoCo, relaxed, DFT PBE-GGA
data_DyHoCo
_cell_length_a 3.357
_cell_length_b 3.357
_cell_length_c 12.571
_cell_angle_alpha 90.00
_cell_angle_beta 90.00
_cell_angle_gamma 90.00
_space_group_name_H-M_alt 'I 4 m m'
_space_group_IT_number 107
_space_group_name_Hall 'I 4 -2'
loop_
_atom_site_label
_atom_site_fract_x
_atom_site_fract_y
_atom_site_fract_z
Dy1 0.000 0.000 0.000
Ho1 0.000 0.000 0.257
Co1 0.000 0.000 0.629
# - calculated formation energy (eV per formula unit) = -0.37
# - total DFT energy (no corrections) (eV per formula unit) = -16.66
# - energy relative to the lowest polymorph listed for this composition (eV per atom) = 0.015